First-principles (PBE-GGA) data for crystalline Mn2AlPb at its relaxed geometry, as listed in Alexandria via LeMat-Bulk.

Unit cell a=4.1104 b=4.1104 c=7.9252 alpha=90.00 beta=90.00 gamma=90.00
Positions (direct):
Mn: 0.0000 0.5000 0.2500
Mn: 0.0000 0.5000 0.7500
Mn: 0.5000 0.0000 0.2500
Mn: 0.5000 0.0000 0.7500
Al: 0.0000 0.0000 0.0000
Al: 0.5000 0.5000 0.5000
Pb: 0.0000 0.0000 0.5000
Pb: 0.5000 0.5000 0.0000

Properties
symmetry: No. 139
M_tot: 1.520 μB/atom
DOS at the Fermi energy: 6.39 states/eV per cell
ΔH_f (0 K): 0.316 eV/atom